A relaxed Y2CuPb crystal, computed with PBE.

extended XYZ file:
```
4
Lattice="6.115 -1.796 0.000 6.115 1.796 0.000 -2.039 0.000 4.564" Properties=species:S:1:pos:R:3 pbc="T T T"
Y 0.000 0.000 0.000
Y 1.232 0.000 3.289
Cu 5.113 0.000 2.296
Pb 9.123 0.000 1.346
```

Properties
**Calculated formation energy**: -26 kJ/mol of atoms
**Total DFT energy (no corrections)**: -21.83 eV for the cell shown
**DOS at the Fermi energy**: 3.463 states/eV/f.u.